Entry 1:
This record from the Alexandria database describes TaCoRh2O6 after structural relaxation. The functional is PBE+U.

Unit cell a=5.1335 b=5.2446 c=5.8405 alpha=59.96 beta=63.58 gamma=60.97
Last column: magnetic moment on the atom in μB.
Fractional positions:
1 Rh 0.0117 0.0099 0.9641  0.70
2 Rh 0.5130 0.5050 0.4694  0.12
3 O 0.4485 0.6980 0.7326  0.11
4 O 0.1091 0.4290 0.7527  0.04
5 O 0.7073 0.1044 0.7632  0.05
6 O 0.5661 0.2489 0.2635  0.11
7 O 0.9315 0.5760 0.2283  0.03
8 O 0.2357 0.9290 0.2386  0.03
9 Co 0.8166 0.8311 0.5568  2.69
10 Ta 0.3222 0.3303 0.0459  0.02

Summary:
SG = P1 (1)

---

Entry 2:
This record from the Alexandria database describes Rb2FeGeF6 after structural relaxation. The functional is PBE+U.

Unit cell a=6.1535 b=6.1535 c=6.1723 alpha=60.10 beta=60.10 gamma=90.00
Last column: magnetic moment on the atom in μB.
Fractional positions:
1 F 0.7406 0.7406 0.0000  0.02
2 F 0.2594 0.2594 0.0000  0.02
3 F 0.7406 0.2594 0.0000  0.02
4 F 0.2594 0.7406 0.0000  0.02
5 F 0.7442 0.7442 0.5117  0.02
6 F 0.2558 0.2558 0.4883  0.02
7 Fe 0.5000 0.5000 0.0000  3.81
8 Ge 0.0000 0.0000 0.0000  0.02
9 Rb 0.7500 0.2500 0.5000  0.00
10 Rb 0.2500 0.7500 0.5000  0.00

Summary:
SG = I4/mmm (139)

---

Number 1: magnetic moment 4.0 Bohr magnetons per cell, total DFT energy (no corrections) -75.0 eV per cell. Number 2: magnetic moment 4.0 Bohr magnetons per cell, total DFT energy (no corrections) -47.2 eV per cell.